Here is AcGaN after structural relaxation from Alexandria. Energies are from GGA-PBE.

The value obtained for the magnetization is 0.00 μB/atom. The calculation puts the total energy at -5.28 eV/atom. For the formation energy from raw total energies, the calculation gives -0.126 eV/atom. For the density, the calculation gives 6.79 g cm⁻³. The energy above the most stable polymorph in this dataset comes out at 767 meV/atom. The density of states at the Fermi level comes out at 0.40 states/eV/atom.

Cell lengths 4.8944, 4.8944, 4.8944 Å; angles 124.87, 124.87, 81.76 degrees
With the nearest neighbours (Å) after each atom.
Element x y z (fractional)
1 Ac 0.0000 0.0000 0.0000  1 N 2.44
2 Ga 0.4242 0.4242 0.0000  1 N 1.83
3 N 0.6710 0.6710 0.0000  1 Ga 1.83